Here is an optimized crystal structure of FeAgOF2 from the Alexandria database. Energies are from PBE+U.

Output
For the density, the calculation gives 4.9 g/cm³. The space-group type is P4/mmm. The calculation puts the relative energy among the computed polymorphs at 1.105 eV per atom. Its total energy is -3.7722 eV/atom.

abc: 4.223 4.223 4.177
angles: 90.00 90.00 90.00
Sites, in units of the cell vectors:
O 0.000 0.000 0.500
Fe 0.500 0.500 0.500
Ag 0.000 0.000 0.000
F 0.000 0.500 0.000
F 0.500 0.000 0.000